Crystalline CsZrTl at its relaxed geometry, computed with PBE.

Computed properties:
**Excess energy over the best structure of this formula in the dataset**: 295.5 meV/atom

Lattice parameters (Å, degrees): 14.5503 5.8891 5.5086 90.00 90.00 90.00
Last column: nearest neighbours and their distance in Å.
Element x y z (fractional)
Cs 0.2498 0.2500 0.2474  2 Zr 3.89-3.90, 4 Cs 4.03, 4 Tl 4.15-4.17
Cs 0.2502 0.7500 0.7474  2 Zr 3.89-3.90, 4 Cs 4.03, 4 Tl 4.15-4.17
Cs 0.7498 0.2500 0.2526  2 Zr 3.89-3.90, 4 Cs 4.03, 4 Tl 4.15-4.17
Cs 0.7502 0.7500 0.7526  2 Zr 3.89-3.90, 4 Cs 4.03, 4 Tl 4.15-4.17
Zr 0.0000 0.2500 0.5023  2 Zr 2.94, 4 Tl 3.11-3.13
Zr 0.0000 0.7500 0.4977  2 Zr 2.94, 4 Tl 3.11-3.13
Zr 0.5000 0.2500 0.9977  2 Zr 2.94, 4 Tl 3.11-3.13
Zr 0.5000 0.7500 0.0023  2 Zr 2.94, 4 Tl 3.11-3.13
Tl 0.0000 0.0000 0.0000  2 Tl 2.94, 4 Zr 3.11-3.13
Tl 0.0000 0.5000 0.0000  2 Tl 2.94, 4 Zr 3.11-3.13
Tl 0.5000 0.0000 0.5000  2 Tl 2.94, 4 Zr 3.11-3.13
Tl 0.5000 0.5000 0.5000  2 Tl 2.94, 4 Zr 3.11-3.13


Crystalline CsZrTl at its relaxed geometry, computed with PBE.

Computed properties:
**Excess energy over the best structure of this formula in the dataset**: 177.4 meV/atom

Lattice parameters (Å, degrees): 4.9468 4.9573 13.1570 81.77 81.36 60.72
Last column: nearest neighbours and their distance in Å.
Element x y z (fractional)
Cs 0.0000 0.0000 0.0000  3 Tl 3.82
Cs 0.4919 0.5225 0.6472  4 Zr 4.13-4.57, 3 Tl 4.21-4.27
Zr 0.2217 0.2426 0.4178  4 Tl 2.87-2.90
Zr 0.5876 0.6024 0.2948  6 Tl 3.15-3.22, 3 Zr 3.24-3.31
Tl 0.2802 0.2897 0.1944  4 Zr 2.90-3.16
Tl 0.8903 0.9095 0.4054  5 Zr 2.87-3.21


Crystalline CsTm4 at its relaxed geometry, computed with PBE.

Lattice parameters (Å, degrees): 5.5972 5.5972 5.5972 90.00 90.00 90.00
Last column: nearest neighbours and their distance in Å.
Element x y z (fractional)
Cs 0.0000 0.0000 0.0000  6 Tm 2.80
Tm 0.0000 0.0000 0.5000  2 Cs 2.80
Tm 0.0000 0.5000 0.0000  2 Cs 2.80
Tm 0.5000 0.0000 0.0000  2 Cs 2.80
Tm 0.5000 0.5000 0.5000  12 Tm 3.96


Crystalline CsYV3 at its relaxed geometry, computed with PBE.

Computed properties:
**Excess energy over the best structure of this formula in the dataset**: 0.0 meV/atom

Lattice parameters (Å, degrees): 5.3142 5.3142 5.3142 90.00 90.00 90.00
Last column: nearest neighbours and their distance in Å.
Element x y z (fractional)
Cs 0.0000 0.0000 0.0000  12 V 3.76
Y 0.5000 0.5000 0.5000  6 V 2.66
V 0.0000 0.5000 0.5000  2 Y 2.66
V 0.5000 0.0000 0.5000  2 Y 2.66
V 0.5000 0.5000 0.0000  2 Y 2.66


Crystalline CsYV3 at its relaxed geometry, computed with PBE.

Computed properties:
**Excess energy over the best structure of this formula in the dataset**: 50.3 meV/atom

Lattice parameters (Å, degrees): 4.8367 4.8367 4.8367 90.00 90.00 90.00
Last column: nearest neighbours and their distance in Å.
Element x y z (fractional)
Cs 0.0000 0.0000 0.0000  6 V 2.42
Y 0.5000 0.5000 0.5000  12 V 3.42
V 0.0000 0.0000 0.5000  2 Cs 2.42
V 0.0000 0.5000 0.0000  2 Cs 2.42
V 0.5000 0.0000 0.0000  2 Cs 2.42


Crystalline Cs2YV at its relaxed geometry, computed with PBE.

Lattice parameters (Å, degrees): 9.1421 9.1421 9.1421 90.00 90.00 90.00
Last column: nearest neighbours and their distance in Å.
Element x y z (fractional)
Cs 0.2500 0.2500 0.2500  4 Y 3.96, 4 V 3.96
Cs 0.2500 0.2500 0.7500  4 Y 3.96, 4 V 3.96
Cs 0.2500 0.7500 0.2500  4 Y 3.96, 4 V 3.96
Cs 0.2500 0.7500 0.7500  4 Y 3.96, 4 V 3.96
Cs 0.7500 0.2500 0.2500  4 Y 3.96, 4 V 3.96
Cs 0.7500 0.2500 0.7500  4 Y 3.96, 4 V 3.96
Cs 0.7500 0.7500 0.2500  4 Y 3.96, 4 V 3.96
Cs 0.7500 0.7500 0.7500  4 Y 3.96, 4 V 3.96
Y 0.0000 0.0000 0.0000  8 Cs 3.96
Y 0.0000 0.5000 0.5000  8 Cs 3.96
Y 0.5000 0.0000 0.5000  8 Cs 3.96
Y 0.5000 0.5000 0.0000  8 Cs 3.96
V 0.0000 0.0000 0.5000  8 Cs 3.96
V 0.0000 0.5000 0.0000  8 Cs 3.96
V 0.5000 0.0000 0.0000  8 Cs 3.96
V 0.5000 0.5000 0.5000  8 Cs 3.96


Mass density (g/cm3)
6.03, 5.13, 7.66, 4.15, 5.50, 3.53
Calculated formation energy (kcal/mol of atoms)
8.7, 6.0, 27.2, 47.4, 48.6, 32.9